a) Density functional theory data (GGA-PBE) for crystalline Nd5Dy2Tm4 at its relaxed geometry.

a = 3.520 Å, b = 9.091 Å, c = 12.729 Å
α = 110.92°, β = 97.95°, γ = 90.00°
Fractional positions:
1 Nd 0.855 0.056 0.710
2 Nd 0.855 0.654 0.710
3 Nd 0.145 0.346 0.290
4 Nd 0.145 0.944 0.290
5 Nd 0.500 0.000 0.000
6 Dy 0.269 0.269 0.539
7 Dy 0.731 0.731 0.461
8 Tm 0.000 0.316 0.000
9 Tm 0.596 0.596 0.193
10 Tm 0.000 0.684 0.000
11 Tm 0.404 0.404 0.807

Values from the calculation:
density = 7598 kg/m³
crystal system = orthorhombic
N(E_F) = 17.6 states/eV/f.u.

---

b) Density functional theory data (GGA-PBE) for crystalline Nd5Dy2Tm4 at its relaxed geometry.

a = 3.577 Å, b = 11.784 Å, c = 9.166 Å
α = 101.42°, β = 101.25°, γ = 90.00°
Fractional positions:
1 Nd 0.850 0.489 0.700
2 Nd 0.150 0.511 0.300
3 Nd 0.835 0.998 0.669
4 Nd 0.500 0.000 0.000
5 Nd 0.165 0.002 0.331
6 Dy 0.648 0.255 0.296
7 Dy 0.352 0.745 0.704
8 Tm 0.311 0.237 0.622
9 Tm 0.019 0.727 0.039
10 Tm 0.689 0.763 0.378
11 Tm 0.981 0.273 0.961

Values from the calculation:
density = 7705 kg/m³
crystal system = monoclinic
N(E_F) = 15.5 states/eV/f.u.

---

Stability check: which of them is most stable? b).

---

a) Density functional theory data (GGA-PBE) for crystalline Nd3Dy8Tm2 at its relaxed geometry.

a = 5.654 Å, b = 7.729 Å, c = 10.695 Å
α = 111.18°, β = 90.05°, γ = 90.00°
Fractional positions:
1 Nd 0.500 0.000 0.000
2 Nd 0.000 0.292 0.000
3 Nd 0.000 0.708 0.000
4 Dy 0.001 0.673 0.346
5 Dy 0.999 0.327 0.654
6 Dy 0.999 0.136 0.272
7 Dy 0.001 0.864 0.728
8 Dy 0.500 0.599 0.781
9 Dy 0.500 0.182 0.781
10 Dy 0.500 0.818 0.219
11 Dy 0.500 0.401 0.219
12 Tm 0.498 0.241 0.482
13 Tm 0.502 0.759 0.518

Values from the calculation:
density = 7891 kg/m³
crystal system = monoclinic
N(E_F) = 20.7 states/eV/f.u.

---

b) Density functional theory data (GGA-PBE) for crystalline Nd3Dy8Tm2 at its relaxed geometry.

a = 5.565 Å, b = 6.759 Å, c = 11.767 Å
α = 78.01°, β = 103.67°, γ = 89.99°
Fractional positions:
1 Nd 0.000 0.000 0.000
2 Nd 0.488 0.289 0.977
3 Nd 0.512 0.711 0.023
4 Dy 0.077 0.405 0.155
5 Dy 0.923 0.595 0.845
6 Dy 0.178 0.735 0.357
7 Dy 0.822 0.265 0.643
8 Dy 0.378 0.989 0.755
9 Dy 0.331 0.530 0.662
10 Dy 0.669 0.470 0.338
11 Dy 0.622 0.011 0.245
12 Tm 0.769 0.816 0.538
13 Tm 0.231 0.184 0.462

Values from the calculation:
density = 8185 kg/m³
crystal system = monoclinic
N(E_F) = 19.8 states/eV/f.u.

---

Stability check: which of them is most stable? b).